(1)
Computed, not measured: Hg2SeS after structural relaxation at the PBE-GGA level of DFT.

Unit cell a=4.998 b=4.998 c=4.998 alpha=60.00 beta=60.00 gamma=60.00
Element x y z (fractional)
Se 0.500 0.500 0.500
Hg 0.750 0.750 0.750
Hg 0.250 0.250 0.250
S 0.000 0.000 0.000

(2)
Computed, not measured: HgSe2S after structural relaxation at the PBE-GGA level of DFT.

Unit cell a=7.994 b=7.994 c=7.994 alpha=30.23 beta=30.23 gamma=30.23
Element x y z (fractional)
Se 0.899 0.899 0.899
Se 0.101 0.101 0.101
Hg 0.500 0.500 0.500
S 0.000 0.000 0.000

(3)
Computed, not measured: Hg2SeS after structural relaxation at the PBE-GGA level of DFT.

Unit cell a=4.331 b=4.331 c=7.100 alpha=90.01 beta=90.00 gamma=120.02
Element x y z (fractional)
Hg 0.736 0.495 0.077
Hg 0.403 0.830 0.556
S 0.403 0.828 0.190
Se 0.736 0.496 0.695

(4)
Computed, not measured: Hg2SeS2 after structural relaxation at the PBE-GGA level of DFT.

Unit cell a=7.437 b=7.437 c=4.390 alpha=90.00 beta=90.00 gamma=90.00
Element x y z (fractional)
S 0.264 0.764 0.000
S 0.764 0.736 0.000
S 0.736 0.236 0.000
S 0.236 0.264 0.000
Hg 0.871 0.371 0.500
Hg 0.629 0.871 0.500
Hg 0.371 0.129 0.500
Hg 0.129 0.629 0.500
Se 0.000 0.000 0.000
Se 0.500 0.500 0.000

Energy relative to the lowest polymorph listed for this composition (computed, meV per atom): 612, 40, 9, 0
Energy relative to the elements, uncorrected (computed, eV per atom): 0.442, 0.273, -0.162, 0.220
Total magnetization (computed, μB per cell): 0.00, 0.00, 0.00, 0.00